# 1
Tb3Te2P | GGA-PBE | optimized geometry

a b c (Å): 7.3244 12.6579 7.5008
angles (deg): 90.00 108.99 90.00
Space group C2/m (No. 12)
Inequivalent atoms, fractional coordinates:
Tb 0.2118 0.0000 0.2132 [4 per cell]
Tb 0.2465 0.1793 0.7812 [8 per cell]
Te 0.0000 0.0000 0.5000 [2 per cell]
Te 0.0000 0.3416 0.5000 [4 per cell]
Te 0.0000 0.5000 0.0000 [2 per cell]
P 0.0000 0.1682 0.0000 [4 per cell]

Properties
Size of the total moment ... 0.0 Bohr magnetons per cell
Total DFT energy (no corrections) ... -138.16 eV for the cell shown
Energy relative to the elements, uncorrected ... -1.4925 eV per atom
Mass density ... 7.71 g cm⁻³

# 2
Tb4TeP3 | GGA-PBE | optimized geometry

a b c (Å): 4.0917 4.0917 27.2234
angles (deg): 90.00 90.00 120.00
Space group P6_3/mmc (No. 194)
Inequivalent atoms, fractional coordinates:
Tb 0.0000 0.0000 0.1725 [4 per cell]
Tb 0.3333 0.6667 0.0574 [4 per cell]
Te 0.3333 0.6667 0.2500 [2 per cell]
P 0.0000 0.0000 0.0000 [2 per cell]
P 0.3333 0.6667 0.6194 [4 per cell]

Properties
Size of the total moment ... 0.0 Bohr magnetons per cell
Total DFT energy (no corrections) ... -101.63 eV for the cell shown
Energy relative to the elements, uncorrected ... -1.6154 eV per atom
Mass density ... 7.20 g cm⁻³

# 3
Tb3TeP2 | GGA-PBE | optimized geometry

a b c (Å): 7.2972 11.4469 8.3096
angles (deg): 90.00 90.00 90.00
Space group Imma (No. 74)
Inequivalent atoms, fractional coordinates:
Tb 0.2320 0.0000 0.0000 [8 per cell]
Tb 0.2500 0.2500 0.2500 [4 per cell]
Te 0.0000 0.2500 0.9184 [4 per cell]
P 0.0000 0.0625 0.2854 [8 per cell]

Properties
Size of the total moment ... 0.0 Bohr magnetons per cell
Total DFT energy (no corrections) ... -138.42 eV for the cell shown
Energy relative to the elements, uncorrected ... -1.1253 eV per atom
Mass density ... 6.38 g cm⁻³

# 4
Tb3Te2P | GGA-PBE | optimized geometry

a b c (Å): 7.5419 12.7235 7.2753
angles (deg): 90.00 109.66 90.00
Space group C2/c (No. 15)
Inequivalent atoms, fractional coordinates:
Tb 0.2053 0.0709 0.4935 [8 per cell]
Tb 0.2500 0.2500 0.0000 [4 per cell]
Te 0.0000 0.2616 0.2500 [4 per cell]
Te 0.0000 0.4208 0.7500 [4 per cell]
P 0.0000 0.0905 0.7500 [4 per cell]

Properties
Size of the total moment ... 0.0 Bohr magnetons per cell
Total DFT energy (no corrections) ... -137.32 eV for the cell shown
Energy relative to the elements, uncorrected ... -1.4578 eV per atom
Mass density ... 7.71 g cm⁻³

# 5
Tb4TlTe2P | GGA-PBE | optimized geometry

a b c (Å): 7.5177 4.2003 7.5308
angles (deg): 90.00 108.34 90.00
Space group P2/m (No. 10)
Inequivalent atoms, fractional coordinates:
Tb 0.2271 0.0000 0.2189 [2 per cell]
Tb 0.2418 0.5000 0.7644 [2 per cell]
Tl 0.5000 0.0000 0.0000 [1 per cell]
Te 0.0000 0.0000 0.5000 [1 per cell]
Te 0.5000 0.5000 0.5000 [1 per cell]
P 0.0000 0.5000 0.0000 [1 per cell]

Properties
Size of the total moment ... 0.0 Bohr magnetons per cell
Total DFT energy (no corrections) ... -41.79 eV for the cell shown
Energy relative to the elements, uncorrected ... -1.1517 eV per atom
Mass density ... 8.29 g cm⁻³

# 6
Tb4Tl2TeP | GGA-PBE | optimized geometry

a b c (Å): 7.1293 4.0233 8.2229
angles (deg): 90.00 105.79 90.00
Space group P2/m (No. 10)
Inequivalent atoms, fractional coordinates:
Tb 0.2160 0.0000 0.2111 [2 per cell]
Tb 0.2356 0.5000 0.7729 [2 per cell]
Tl 0.0000 0.0000 0.5000 [1 per cell]
Tl 0.5000 0.5000 0.5000 [1 per cell]
Te 0.5000 0.0000 0.0000 [1 per cell]
P 0.0000 0.5000 0.0000 [1 per cell]

Properties
Size of the total moment ... 0.0 Bohr magnetons per cell
Total DFT energy (no corrections) ... -38.87 eV for the cell shown
Energy relative to the elements, uncorrected ... -0.8832 eV per atom
Mass density ... 8.80 g cm⁻³